VASP calculation (GGA-PBE) on a geometry-optimized Mg2ZrZn structure.

a = 3.024 Å, b = 4.325 Å, c = 6.205 Å
α = 90.00°, β = 90.00°, γ = 90.00°
Sites, in units of the cell vectors:
Mg (0.000, 0.000, 0.013)
Mg (0.000, 0.000, 0.487)
Zr (0.500, 0.500, 0.750)
Zn (0.500, 0.500, 0.250)

Mass density   4.20 Mg/m³
Energy   -3.213 eV per atom
E_form   39.4 meV/atom
Fermi-level density of states   0.69 states/eV per atom


VASP calculation (GGA-PBE) on a geometry-optimized Mg2ZrZn structure.

a = 7.761 Å, b = 7.761 Å, c = 6.194 Å
α = 51.21°, β = 51.21°, γ = 90.00°
Sites, in units of the cell vectors:
Mg (0.875, 0.833, 0.750)
Mg (0.167, 0.625, 0.250)
Mg (0.375, 0.417, 0.750)
Mg (0.583, 0.125, 0.250)
Zn (0.500, 0.500, 0.000)
Zn (0.250, 0.750, 0.500)
Zr (0.000, 0.000, 0.000)
Zr (0.750, 0.250, 0.500)

Mass density   3.94 Mg/m³
Energy   -2.998 eV per atom
E_form   254.9 meV/atom
Fermi-level density of states   1.06 states/eV per atom


VASP calculation (GGA-PBE) on a geometry-optimized MgZr5Zn4 structure.

a = 3.365 Å, b = 3.365 Å, c = 17.037 Å
α = 90.00°, β = 90.00°, γ = 90.00°
Sites, in units of the cell vectors:
Zr (0.500, 0.500, 0.500)
Zr (0.500, 0.500, 0.111)
Zr (0.500, 0.500, 0.694)
Zr (0.500, 0.500, 0.306)
Zr (0.500, 0.500, 0.889)
Zn (0.000, 0.000, 0.597)
Zn (0.000, 0.000, 0.403)
Zn (0.000, 0.000, 0.793)
Zn (0.000, 0.000, 0.207)
Mg (0.000, 0.000, 0.000)

Mass density   6.39 Mg/m³
Energy   -5.144 eV per atom
E_form   -200.8 meV/atom
Fermi-level density of states   0.28 states/eV per atom